A plane-wave DFT calculation with PBE was carried out for LiGdPb2 after structural relaxation.

```
16
Lattice="7.546 0.000 0.000 0.000 7.546 0.000 0.000 0.000 7.546" Properties=species:S:1:pos:R:3 pbc="T T T"
Li 0.000 0.000 0.000
Li 0.000 3.773 3.773
Li 3.773 0.000 3.773
Li 3.773 3.773 0.000
Gd 0.000 0.000 3.773
Gd 0.000 3.773 0.000
Gd 3.773 0.000 0.000
Gd 3.773 3.773 3.773
Pb 1.887 1.887 1.887
Pb 1.887 1.887 5.660
Pb 1.887 5.660 1.887
Pb 1.887 5.660 5.660
Pb 5.660 1.887 1.887
Pb 5.660 1.887 5.660
Pb 5.660 5.660 1.887
Pb 5.660 5.660 5.660
```

## Properties
The calculation puts the energy of formation at -339 meV per atom. For the size of the total moment, the calculation gives 6.9 μB/f.u. The density of states at the Fermi level is 0.636 states/eV/atom. For the total energy, the calculation gives -6.192 eV per atom. Its energy relative to the lowest polymorph listed for this composition is 0.0853 eV per atom.